*1*
Here is a relaxed La3Ga2Ge4 crystal from the Alexandria database. Energies are from PBE-GGA.

Calculated values
As for the crystal system: monoclinic.

abc: 6.2200 6.2200 9.1934
angles: 109.72 109.72 39.92
Fractional positions:
1 La 0.0000 0.0000 0.0000
2 La 0.3762 0.3762 0.3110
3 La 0.6238 0.6238 0.6890
4 Ga 0.3195 0.3195 0.6730
5 Ga 0.6805 0.6805 0.3270
6 Ge 0.0907 0.0907 0.3940
7 Ge 0.2847 0.2847 0.9449
8 Ge 0.7153 0.7153 0.0551
9 Ge 0.9093 0.9093 0.6060

=====

*2*
Here is a relaxed La3Ga2Ge4 crystal from the Alexandria database. Energies are from PBE-GGA.

Calculated values
As for the crystal system: monoclinic.

abc: 6.2097 6.2097 8.6784
angles: 97.41 97.41 40.59
Fractional positions:
1 La 0.0000 0.0000 0.0000
2 La 0.3330 0.3330 0.3308
3 La 0.6670 0.6670 0.6692
4 Ga 0.3614 0.3614 0.6916
5 Ga 0.6386 0.6386 0.3084
6 Ge 0.0334 0.0334 0.3649
7 Ge 0.2996 0.2996 0.9622
8 Ge 0.7004 0.7004 0.0378
9 Ge 0.9666 0.9666 0.6351

=====

Relative to the most stable structure, the computed energies are *1* 45; *2* 0, all in meV/atom.

=====

*1*
Here is a relaxed La3GaGe crystal from the Alexandria database. Energies are from PBE-GGA.

Calculated values
As for the crystal system: monoclinic.

abc: 8.3582 8.3582 8.7268
angles: 94.47 94.47 29.18
Fractional positions:
1 La 0.0440 0.0440 0.1708
2 La 0.2365 0.2365 0.8223
3 La 0.4058 0.4058 0.4311
4 La 0.5942 0.5942 0.5689
5 La 0.7635 0.7635 0.1777
6 La 0.9560 0.9560 0.8292
7 Ga 0.2116 0.2116 0.4278
8 Ga 0.7884 0.7884 0.5722
9 Ge 0.3933 0.3933 0.0713
10 Ge 0.6067 0.6067 0.9287

=====

*2*
Here is a relaxed La3GaGe crystal from the Alexandria database. Energies are from PBE-GGA.

Calculated values
As for the crystal system: cubic.

abc: 5.6533 5.6533 5.6533
angles: 90.00 90.00 90.00
Fractional positions:
1 La 0.0000 0.0000 0.5000
2 La 0.0000 0.5000 0.0000
3 La 0.5000 0.0000 0.0000
4 Ga 0.0000 0.0000 0.0000
5 Ge 0.5000 0.5000 0.5000

=====

*3*
Here is a relaxed La3GaGe crystal from the Alexandria database. Energies are from PBE-GGA.

Calculated values
As for the crystal system: orthorhombic.

abc: 4.7077 9.1412 6.8264
angles: 90.00 90.00 90.00
Fractional positions:
1 La 0.2500 0.0495 0.2423
2 La 0.2500 0.2500 0.7441
3 La 0.2500 0.4505 0.2423
4 La 0.7500 0.5495 0.7577
5 La 0.7500 0.7500 0.2559
6 La 0.7500 0.9505 0.7577
7 Ga 0.2500 0.7500 0.5611
8 Ga 0.7500 0.2500 0.4389
9 Ge 0.2500 0.7500 0.9527
10 Ge 0.7500 0.2500 0.0473

=====

Relative to the most stable structure, the computed energies are *1* 18; *2* 558; *3* 0, all in meV/atom.

=====

*1*
Here is a relaxed LaGaGe2 crystal from the Alexandria database. Energies are from PBE-GGA.

Calculated values
As for the crystal system: tetragonal.

abc: 4.4452 4.4452 4.4696
angles: 90.00 90.00 90.00
Fractional positions:
1 La 0.0000 0.0000 0.0000
2 Ga 0.5000 0.5000 0.0000
3 Ge 0.0000 0.5000 0.5000
4 Ge 0.5000 0.0000 0.5000

=====

*2*
Here is a relaxed LaGaGe2 crystal from the Alexandria database. Energies are from PBE-GGA.

Calculated values
As for the crystal system: trigonal.

abc: 5.7690 5.7690 5.7690
angles: 46.37 46.37 46.37
Fractional positions:
1 La 0.0000 0.0000 0.0000
2 Ga 0.5000 0.5000 0.5000
3 Ge 0.2121 0.2121 0.2121
4 Ge 0.7879 0.7879 0.7879

=====

Relative to the most stable structure, the computed energies are *1* 0; *2* 65, all in meV/atom.

=====

*1*
Here is a relaxed LaGaGe2 crystal from the Alexandria database. Energies are from PBE-GGA.

Calculated values
As for the crystal system: orthorhombic.

abc: 4.0192 5.1335 5.1335
angles: 67.96 90.00 90.00
Fractional positions:
1 La 0.0000 0.0000 0.0000
2 Ga 0.5000 0.5330 0.5330
3 Ge 0.5000 0.0415 0.4898
4 Ge 0.5000 0.4898 0.0415

=====

*2*
Here is a relaxed LaGaGe2 crystal from the Alexandria database. Energies are from PBE-GGA.

Calculated values
As for the crystal system: tetragonal.

abc: 6.2924 6.2924 6.2924
angles: 104.94 104.94 118.97
Fractional positions:
1 La 0.0000 0.0000 0.0000
2 La 0.7500 0.2500 0.5000
3 Ga 0.2500 0.7500 0.5000
4 Ga 0.5000 0.5000 0.0000
5 Ge 0.1771 0.6250 0.0521
6 Ge 0.3750 0.4271 0.5521
7 Ge 0.5729 0.1250 0.9479
8 Ge 0.8750 0.8229 0.4479

=====

Relative to the most stable structure, the computed energies are *1* 59; *2* 0, all in meV/atom.

=====

*1*
Here is a relaxed La2Ga3Ge2 crystal from the Alexandria database. Energies are from PBE-GGA.

Calculated values
As for the crystal system: monoclinic.

abc: 6.1540 6.1540 6.6783
angles: 94.96 94.96 40.12
Fractional positions:
1 La 0.1468 0.1468 0.2351
2 La 0.8532 0.8532 0.7649
3 Ga 0.4240 0.4240 0.1204
4 Ga 0.5000 0.5000 0.5000
5 Ga 0.5760 0.5760 0.8796
6 Ge 0.1500 0.1500 0.7168
7 Ge 0.8500 0.8500 0.2832

=====

*2*
Here is a relaxed La2Ga3Ge2 crystal from the Alexandria database. Energies are from PBE-GGA.

Calculated values
As for the crystal system: monoclinic.

abc: 4.2718 4.2888 9.5803
angles: 90.00 101.85 90.00
Fractional positions:
1 La 0.1430 0.0000 0.2771
2 La 0.8570 0.0000 0.7229
3 Ga 0.0000 0.5000 0.0000
4 Ga 0.2793 0.5000 0.5639
5 Ga 0.7207 0.5000 0.4361
6 Ge 0.4103 0.5000 0.8292
7 Ge 0.5897 0.5000 0.1708

=====

Relative to the most stable structure, the computed energies are *1* 0; *2* 134, all in meV/atom.

=====

*1*
Here is a relaxed LaGa2Ge crystal from the Alexandria database. Energies are from PBE-GGA.

Calculated values
As for the crystal system: orthorhombic.

abc: 9.7198 9.7198 9.0690
angles: 90.00 90.00 155.02
Fractional positions:
1 La 0.0000 0.0000 0.0000
2 La 0.0000 0.0000 0.5000
3 La 0.2005 0.7995 0.7500
4 La 0.7995 0.2005 0.2500
5 Ga 0.1842 0.8158 0.1072
6 Ga 0.1842 0.8158 0.3928
7 Ga 0.4185 0.5815 0.7500
8 Ga 0.4460 0.5540 0.2500
9 Ga 0.5540 0.4460 0.7500
10 Ga 0.5815 0.4185 0.2500
11 Ga 0.8158 0.1842 0.6072
12 Ga 0.8158 0.1842 0.8928
13 Ge 0.3672 0.6328 0.0230
14 Ge 0.3672 0.6328 0.4770
15 Ge 0.6328 0.3672 0.5230
16 Ge 0.6328 0.3672 0.9770

=====

*2*
Here is a relaxed LaGa2Ge crystal from the Alexandria database. Energies are from PBE-GGA.

Calculated values
As for the crystal system: trigonal.

abc: 5.8255 5.8255 5.8255
angles: 45.63 45.63 45.63
Fractional positions:
1 La 0.0000 0.0000 0.0000
2 Ga 0.2177 0.2177 0.2177
3 Ga 0.7823 0.7823 0.7823
4 Ge 0.5000 0.5000 0.5000

=====

Relative to the most stable structure, the computed energies are *1* 0; *2* 85, all in meV/atom.

=====

*1*
Here is a relaxed La2Ga2Ge crystal from the Alexandria database. Energies are from PBE-GGA.

Calculated values
As for the crystal system: monoclinic.

abc: 6.1295 6.1295 11.3549
angles: 113.34 113.34 41.29
Fractional positions:
1 La 0.0981 0.0981 0.4027
2 La 0.2925 0.2925 0.8592
3 La 0.7075 0.7075 0.1408
4 La 0.9019 0.9019 0.5973
5 Ga 0.0112 0.0112 0.8972
6 Ga 0.3665 0.3665 0.3793
7 Ga 0.6335 0.6335 0.6207
8 Ga 0.9888 0.9888 0.1028
9 Ge 0.4279 0.4279 0.1835
10 Ge 0.5721 0.5721 0.8165

=====

*2*
Here is a relaxed La2Ga2Ge crystal from the Alexandria database. Energies are from PBE-GGA.

Calculated values
As for the crystal system: tetragonal.

abc: 7.3102 7.3102 4.6978
angles: 90.00 90.00 90.00
Fractional positions:
1 La 0.1738 0.3262 0.0000
2 La 0.3262 0.8262 0.0000
3 La 0.6738 0.1738 0.0000
4 La 0.8262 0.6738 0.0000
5 Ga 0.1273 0.6273 0.5000
6 Ga 0.3727 0.1273 0.5000
7 Ga 0.6273 0.8727 0.5000
8 Ga 0.8727 0.3727 0.5000
9 Ge 0.0000 0.0000 0.5000
10 Ge 0.5000 0.5000 0.5000

=====

Relative to the most stable structure, the computed energies are *1* 0; *2* 107, all in meV/atom.

=====

*1*
Here is a relaxed La8GaGe2 crystal from the Alexandria database. Energies are from PBE-GGA.

Calculated values
As for the crystal system: monoclinic.

abc: 9.6530 9.6530 7.6680
angles: 109.41 109.41 29.90
Fractional positions:
1 La 0.0129 0.0129 0.2650
2 La 0.2070 0.2070 0.8130
3 La 0.3362 0.3362 0.5377
4 La 0.4101 0.4101 0.0371
5 La 0.5899 0.5899 0.9629
6 La 0.6638 0.6638 0.4623
7 La 0.7930 0.7930 0.1870
8 La 0.9871 0.9871 0.7350
9 Ga 0.5000 0.5000 0.5000
10 Ge 0.1769 0.1769 0.2015
11 Ge 0.8231 0.8231 0.7985

=====

*2*
Here is a relaxed La8GaGe2 crystal from the Alexandria database. Energies are from PBE-GGA.

Calculated values
As for the crystal system: monoclinic.

abc: 8.4488 8.4488 5.8928
angles: 103.21 103.21 115.99
Fractional positions:
1 La 0.0000 0.0000 0.0000
2 La 0.0709 0.3099 0.6568
3 La 0.2327 0.7026 0.2160
4 La 0.3099 0.0709 0.6568
5 La 0.4543 0.6803 0.7227
6 La 0.6803 0.4543 0.7227
7 La 0.7026 0.2327 0.2160
8 La 0.7866 0.7866 0.3698
9 Ga 0.4001 0.4001 0.1646
10 Ge 0.0578 0.6679 0.6449
11 Ge 0.6679 0.0578 0.6449

=====

Relative to the most stable structure, the computed energies are *1* 0; *2* 24, all in meV/atom.

=====

*1*
Here is a relaxed LaGa3Ge crystal from the Alexandria database. Energies are from PBE-GGA.

Calculated values
As for the crystal system: orthorhombic.

abc: 6.5216 6.5216 6.1851
angles: 90.00 90.00 125.26
Fractional positions:
1 La 0.2434 0.7566 0.7500
2 La 0.7566 0.2434 0.2500
3 Ga 0.2278 0.2278 0.0000
4 Ga 0.2278 0.2278 0.5000
5 Ga 0.3840 0.6160 0.2500
6 Ga 0.6160 0.3840 0.7500
7 Ga 0.7722 0.7722 0.0000
8 Ga 0.7722 0.7722 0.5000
9 Ge 0.1642 0.8358 0.2500
10 Ge 0.8358 0.1642 0.7500

=====

*2*
Here is a relaxed LaGa3Ge crystal from the Alexandria database. Energies are from PBE-GGA.

Calculated values
As for the crystal system: cubic.

abc: 5.6330 5.6330 5.6330
angles: 90.00 90.00 90.00
Fractional positions:
1 La 0.0000 0.0000 0.0000
2 Ga 0.0000 0.0000 0.5000
3 Ga 0.0000 0.5000 0.0000
4 Ga 0.5000 0.0000 0.0000
5 Ge 0.5000 0.5000 0.5000

=====

Relative to the most stable structure, the computed energies are *1* 0; *2* 1340, all in meV/atom.

=====

*1*
Here is a relaxed LaGa2NiGe crystal from the Alexandria database. Energies are from PBE-GGA.

Calculated values
As for the crystal system: orthorhombic.

abc: 6.0988 6.0988 6.0988
angles: 139.97 139.38 58.34
Fractional positions:
1 La 0.0000 0.0000 0.0000
2 Ga 0.3752 0.3752 0.0000
3 Ga 0.7525 0.2525 0.5000
4 Ni 0.2428 0.7428 0.5000
5 Ge 0.6172 0.6172 0.0000

=====

*2*
Here is a relaxed LaGa2NiGe crystal from the Alexandria database. Energies are from PBE-GGA.

Calculated values
As for the crystal system: tetragonal.

abc: 4.6351 4.6351 4.7384
angles: 90.00 90.00 90.00
Fractional positions:
1 La 0.0000 0.0000 0.0000
2 Ga 0.0000 0.5000 0.5000
3 Ga 0.5000 0.0000 0.5000
4 Ni 0.5000 0.5000 0.5000
5 Ge 0.5000 0.5000 0.0000

=====

Relative to the most stable structure, the computed energies are *1* 0; *2* 201, all in meV/atom.

=====

*1*
Here is a relaxed LaPrGaGe crystal from the Alexandria database. Energies are from PBE-GGA.

Calculated values
As for the crystal system: orthorhombic.

abc: 4.1541 6.1655 6.1655
angles: 43.14 90.00 90.00
Fractional positions:
1 La 0.0000 0.0000 0.0000
2 Pr 0.5000 0.7185 0.7185
3 Ga 0.5000 0.4292 0.4292
4 Ge 0.0000 0.2843 0.2843

=====

*2*
Here is a relaxed LaPrGaGe crystal from the Alexandria database. Energies are from PBE-GGA.

Calculated values
As for the crystal system: cubic.

abc: 5.2926 5.2926 5.2926
angles: 60.00 60.00 60.00
Fractional positions:
1 La 0.0000 0.0000 0.0000
2 Pr 0.5000 0.5000 0.5000
3 Ga 0.7500 0.7500 0.7500
4 Ge 0.2500 0.2500 0.2500

=====

Relative to the most stable structure, the computed energies are *1* 0; *2* 164, all in meV/atom.

=====

*1*
Here is a relaxed LaSmGaGe crystal from the Alexandria database. Energies are from PBE-GGA.

Calculated values
As for the crystal system: cubic.

abc: 5.2423 5.2423 5.2423
angles: 60.00 60.00 60.00
Fractional positions:
1 La 0.0000 0.0000 0.0000
2 Sm 0.5000 0.5000 0.5000
3 Ga 0.2500 0.2500 0.2500
4 Ge 0.7500 0.7500 0.7500

=====

*2*
Here is a relaxed LaSmGaGe crystal from the Alexandria database. Energies are from PBE-GGA.

Calculated values
As for the crystal system: orthorhombic.

abc: 4.1200 6.1039 6.1039
angles: 43.14 90.00 90.00
Fractional positions:
1 La 0.0000 0.0000 0.0000
2 Sm 0.5000 0.2805 0.2805
3 Ga 0.5000 0.5714 0.5714
4 Ge 0.0000 0.7187 0.7187

=====

Relative to the most stable structure, the computed energies are *1* 161; *2* 0, all in meV/atom.